DFT (PBE) results for NdSmAl2Ga2 after structural relaxation.

Geometry as CIF:
```
data_NdSmAl2Ga2
_cell_length_a 4.3288
_cell_length_b 4.3288
_cell_length_c 8.4561
_cell_angle_alpha 90.00
_cell_angle_beta 90.00
_cell_angle_gamma 120.00
_symmetry_space_group_name_H-M 'P -3 m 1'
_symmetry_Int_Tables_number 164
_symmetry_space_group_name_Hall '-P 3 2"'
loop_
_atom_site_label
_atom_site_fract_x
_atom_site_fract_y
_atom_site_fract_z
Nd1 0.0000 0.0000 0.0000
Sm1 0.0000 0.0000 0.5000
Al1 0.3333 0.6667 0.7473
Ga1 0.3333 0.6667 0.2536
```

DFT (PBE) results for NdSm2Al2Ga2 after structural relaxation.

Geometry as CIF:
```
data_NdSm2Al2Ga2
_cell_length_a 4.2964
_cell_length_b 4.2964
_cell_length_c 33.6977
_cell_angle_alpha 90.00
_cell_angle_beta 90.00
_cell_angle_gamma 120.00
_symmetry_space_group_name_H-M 'R -3 m'
_symmetry_Int_Tables_number 166
_symmetry_space_group_name_Hall '-R 3 2"'
loop_
_atom_site_label
_atom_site_fract_x
_atom_site_fract_y
_atom_site_fract_z
Nd1 0.0000 0.0000 0.0000
Sm1 0.0000 0.0000 0.1248
Al1 0.0000 0.0000 0.3941
Ga1 0.0000 0.0000 0.2638
```

DFT (PBE) results for SrNdAlGa after structural relaxation.

Geometry as CIF:
```
data_SrNdAlGa
_cell_length_a 7.616
_cell_length_b 7.616
_cell_length_c 7.616
_cell_angle_alpha 90.00
_cell_angle_beta 90.00
_cell_angle_gamma 90.00
_symmetry_space_group_name_H-M 'F -4 3 m'
_symmetry_Int_Tables_number 216
_symmetry_space_group_name_Hall 'F -4 2 3'
loop_
_atom_site_label
_atom_site_fract_x
_atom_site_fract_y
_atom_site_fract_z
Sr1 0.000 0.000 0.000
Nd1 0.000 0.000 0.500
Al1 0.250 0.250 0.250
Ga1 0.250 0.250 0.750
```

DFT (PBE) results for TbNdAl2Ga2 after structural relaxation.

Geometry as CIF:
```
data_TbNdAl2Ga2
_cell_length_a 4.3216
_cell_length_b 4.3216
_cell_length_c 8.3002
_cell_angle_alpha 90.00
_cell_angle_beta 90.00
_cell_angle_gamma 120.00
_symmetry_space_group_name_H-M 'P -3 m 1'
_symmetry_Int_Tables_number 164
_symmetry_space_group_name_Hall '-P 3 2"'
loop_
_atom_site_label
_atom_site_fract_x
_atom_site_fract_y
_atom_site_fract_z
Tb1 0.0000 0.0000 0.0000
Nd1 0.0000 0.0000 0.5000
Al1 0.3333 0.6667 0.2437
Ga1 0.3333 0.6667 0.7595
```

# TbNdAlGa | Alexandria via LeMat-Bulk | PBE | optimized geometry
data_TbNdAlGa
_cell_length_a 4.158
_cell_length_b 4.468
_cell_length_c 11.241
_cell_angle_alpha 90.00
_cell_angle_beta 90.00
_cell_angle_gamma 90.00
_symmetry_space_group_name_H-M 'A m m 2'
_symmetry_Int_Tables_number 38
_symmetry_space_group_name_Hall 'A 2 -2'
loop_
_atom_site_label
_atom_site_fract_x
_atom_site_fract_y
_atom_site_fract_z
Tb1 0.000 0.000 0.000
Nd1 0.500 0.000 0.718
Al1 0.500 0.000 0.430
Ga1 0.000 0.000 0.287
# Energy relative to the lowest polymorph listed for this composition in eV/f.u.: 0.00

# TbNdAlGa | Alexandria via LeMat-Bulk | PBE | optimized geometry
data_TbNdAlGa
_cell_length_a 7.319
_cell_length_b 7.319
_cell_length_c 7.319
_cell_angle_alpha 90.00
_cell_angle_beta 90.00
_cell_angle_gamma 90.00
_symmetry_space_group_name_H-M 'F -4 3 m'
_symmetry_Int_Tables_number 216
_symmetry_space_group_name_Hall 'F -4 2 3'
loop_
_atom_site_label
_atom_site_fract_x
_atom_site_fract_y
_atom_site_fract_z
Tb1 0.000 0.000 0.000
Nd1 0.000 0.000 0.500
Al1 0.250 0.250 0.250
Ga1 0.250 0.250 0.750
# Energy relative to the lowest polymorph listed for this composition in eV/f.u.: 0.10

DFT (PBE) results for NdThAlGa after structural relaxation.

Geometry as CIF:
```
data_NdThAlGa
_cell_length_a 7.436
_cell_length_b 7.436
_cell_length_c 7.436
_cell_angle_alpha 90.00
_cell_angle_beta 90.00
_cell_angle_gamma 90.00
_symmetry_space_group_name_H-M 'F -4 3 m'
_symmetry_Int_Tables_number 216
_symmetry_space_group_name_Hall 'F -4 2 3'
loop_
_atom_site_label
_atom_site_fract_x
_atom_site_fract_y
_atom_site_fract_z
Nd1 0.000 0.000 0.000
Th1 0.000 0.000 0.500
Al1 0.250 0.250 0.250
Ga1 0.250 0.250 0.750
```

DFT (PBE) results for Nd2Tm2AlGa4 after structural relaxation.

Geometry as CIF:
```
data_Nd2Tm2AlGa4
_cell_length_a 7.025
_cell_length_b 7.025
_cell_length_c 9.018
_cell_angle_alpha 90.00
_cell_angle_beta 90.00
_cell_angle_gamma 90.00
_symmetry_space_group_name_H-M 'I 4/m m m'
_symmetry_Int_Tables_number 139
_symmetry_space_group_name_Hall '-I 4 2'
loop_
_atom_site_label
_atom_site_fract_x
_atom_site_fract_y
_atom_site_fract_z
Nd1 0.000 0.000 0.191
Tm1 0.000 0.500 0.250
Al1 0.000 0.000 0.500
Ga1 0.248 0.248 0.500
```

# NdTmAlGa | Alexandria via LeMat-Bulk | PBE | optimized geometry
data_NdTmAlGa
_cell_length_a 4.126
_cell_length_b 4.437
_cell_length_c 11.136
_cell_angle_alpha 90.00
_cell_angle_beta 90.00
_cell_angle_gamma 90.00
_symmetry_space_group_name_H-M 'A m m 2'
_symmetry_Int_Tables_number 38
_symmetry_space_group_name_Hall 'A 2 -2'
loop_
_atom_site_label
_atom_site_fract_x
_atom_site_fract_y
_atom_site_fract_z
Nd1 0.000 0.000 0.000
Tm1 0.500 0.000 0.719
Al1 0.000 0.000 0.286
Ga1 0.500 0.000 0.431
# Energy relative to the lowest polymorph listed for this composition in eV/f.u.: 0.00

DFT (PBE) results for NdTmAl2Ga2 after structural relaxation.

Geometry as CIF:
```
data_NdTmAl2Ga2
_cell_length_a 4.5077
_cell_length_b 4.5077
_cell_length_c 7.1697
_cell_angle_alpha 90.00
_cell_angle_beta 90.00
_cell_angle_gamma 120.00
_symmetry_space_group_name_H-M 'P -3 m 1'
_symmetry_Int_Tables_number 164
_symmetry_space_group_name_Hall '-P 3 2"'
loop_
_atom_site_label
_atom_site_fract_x
_atom_site_fract_y
_atom_site_fract_z
Nd1 0.0000 0.0000 0.0000
Tm1 0.0000 0.0000 0.5000
Al1 0.3333 0.6667 0.7334
Ga1 0.3333 0.6667 0.2712
```

DFT (PBE) results for NdTm2Al2Ga2 after structural relaxation.

Geometry as CIF:
```
data_NdTm2Al2Ga2
_cell_length_a 4.4061
_cell_length_b 4.4061
_cell_length_c 29.1774
_cell_angle_alpha 90.00
_cell_angle_beta 90.00
_cell_angle_gamma 120.00
_symmetry_space_group_name_H-M 'R -3 m'
_symmetry_Int_Tables_number 166
_symmetry_space_group_name_Hall '-R 3 2"'
loop_
_atom_site_label
_atom_site_fract_x
_atom_site_fract_y
_atom_site_fract_z
Nd1 0.0000 0.0000 0.0000
Tm1 0.0000 0.0000 0.1298
Al1 0.0000 0.0000 0.3994
Ga1 0.0000 0.0000 0.2528
```

# NdTmAlGa | Alexandria via LeMat-Bulk | PBE | optimized geometry
data_NdTmAlGa
_cell_length_a 7.260
_cell_length_b 7.260
_cell_length_c 7.260
_cell_angle_alpha 90.00
_cell_angle_beta 90.00
_cell_angle_gamma 90.00
_symmetry_space_group_name_H-M 'F -4 3 m'
_symmetry_Int_Tables_number 216
_symmetry_space_group_name_Hall 'F -4 2 3'
loop_
_atom_site_label
_atom_site_fract_x
_atom_site_fract_y
_atom_site_fract_z
Nd1 0.000 0.000 0.000
Tm1 0.000 0.000 0.500
Al1 0.250 0.250 0.750
Ga1 0.250 0.250 0.250
# Energy relative to the lowest polymorph listed for this composition in eV/f.u.: 0.11

# NdYAlGa | Alexandria via LeMat-Bulk | PBE | optimized geometry
data_NdYAlGa
_cell_length_a 4.146
_cell_length_b 4.466
_cell_length_c 11.244
_cell_angle_alpha 90.00
_cell_angle_beta 90.00
_cell_angle_gamma 90.00
_symmetry_space_group_name_H-M 'A m m 2'
_symmetry_Int_Tables_number 38
_symmetry_space_group_name_Hall 'A 2 -2'
loop_
_atom_site_label
_atom_site_fract_x
_atom_site_fract_y
_atom_site_fract_z
Nd1 0.000 0.000 0.000
Y1 0.500 0.000 0.281
Al1 0.000 0.000 0.713
Ga1 0.500 0.000 0.569
# Energy relative to the lowest polymorph listed for this composition in eV/f.u.: 0.00

DFT (PBE) results for Nd2YAl2Ga2 after structural relaxation.

Geometry as CIF:
```
data_Nd2YAl2Ga2
_cell_length_a 4.2743
_cell_length_b 4.2743
_cell_length_c 33.8657
_cell_angle_alpha 90.00
_cell_angle_beta 90.00
_cell_angle_gamma 120.00
_symmetry_space_group_name_H-M 'R -3 m'
_symmetry_Int_Tables_number 166
_symmetry_space_group_name_Hall '-R 3 2"'
loop_
_atom_site_label
_atom_site_fract_x
_atom_site_fract_y
_atom_site_fract_z
Nd1 0.0000 0.0000 0.1224
Y1 0.0000 0.0000 0.0000
Al1 0.0000 0.0000 0.3919
Ga1 0.0000 0.0000 0.2702
```

DFT (PBE) results for Nd2Y2AlGa4 after structural relaxation.

Geometry as CIF:
```
data_Nd2Y2AlGa4
_cell_length_a 7.077
_cell_length_b 7.077
_cell_length_c 8.987
_cell_angle_alpha 90.00
_cell_angle_beta 90.00
_cell_angle_gamma 90.00
_symmetry_space_group_name_H-M 'I 4/m m m'
_symmetry_Int_Tables_number 139
_symmetry_space_group_name_Hall '-I 4 2'
loop_
_atom_site_label
_atom_site_fract_x
_atom_site_fract_y
_atom_site_fract_z
Nd1 0.000 0.000 0.189
Y1 0.000 0.500 0.250
Al1 0.000 0.000 0.500
Ga1 0.246 0.246 0.500
```

# NdYAlGa | Alexandria via LeMat-Bulk | PBE | optimized geometry
data_NdYAlGa
_cell_length_a 7.311
_cell_length_b 7.311
_cell_length_c 7.311
_cell_angle_alpha 90.00
_cell_angle_beta 90.00
_cell_angle_gamma 90.00
_symmetry_space_group_name_H-M 'F -4 3 m'
_symmetry_Int_Tables_number 216
_symmetry_space_group_name_Hall 'F -4 2 3'
loop_
_atom_site_label
_atom_site_fract_x
_atom_site_fract_y
_atom_site_fract_z
Nd1 0.000 0.000 0.000
Y1 0.000 0.000 0.500
Al1 0.250 0.250 0.750
Ga1 0.250 0.250 0.250
# Energy relative to the lowest polymorph listed for this composition in eV/f.u.: 0.14

DFT (PBE) results for Nd2Al4Zn3Ga after structural relaxation.

Geometry as CIF:
```
data_Nd2Al4Zn3Ga
_cell_length_a 4.237
_cell_length_b 4.237
_cell_length_c 10.895
_cell_angle_alpha 90.00
_cell_angle_beta 90.00
_cell_angle_gamma 90.00
_symmetry_space_group_name_H-M 'P -4 m 2'
_symmetry_Int_Tables_number 115
_symmetry_space_group_name_Hall 'P -4 -2'
loop_
_atom_site_label
_atom_site_fract_x
_atom_site_fract_y
_atom_site_fract_z
Nd1 0.000 0.500 0.248
Al1 0.000 0.000 0.500
Al2 0.000 0.500 0.863
Al3 0.500 0.500 0.500
Zn1 0.000 0.000 0.000
Zn2 0.000 0.500 0.637
Ga1 0.500 0.500 0.000
```

DFT (PBE) results for Nd2Al3Zn4Ga after structural relaxation.

Geometry as CIF:
```
data_Nd2Al3Zn4Ga
_cell_length_a 4.254
_cell_length_b 4.254
_cell_length_c 10.730
_cell_angle_alpha 90.00
_cell_angle_beta 90.00
_cell_angle_gamma 90.00
_symmetry_space_group_name_H-M 'P -4 m 2'
_symmetry_Int_Tables_number 115
_symmetry_space_group_name_Hall 'P -4 -2'
loop_
_atom_site_label
_atom_site_fract_x
_atom_site_fract_y
_atom_site_fract_z
Nd1 0.000 0.500 0.249
Al1 0.000 0.500 0.867
Al2 0.500 0.500 0.500
Zn1 0.000 0.000 0.000
Zn2 0.000 0.500 0.638
Zn3 0.500 0.500 0.000
Ga1 0.000 0.000 0.500
```

DFT (PBE) results for Nd2AlZnGa6 after structural relaxation.

Geometry as CIF:
```
data_Nd2AlZnGa6
_cell_length_a 6.4103
_cell_length_b 6.4103
_cell_length_c 36.1196
_cell_angle_alpha 90.00
_cell_angle_beta 90.00
_cell_angle_gamma 120.00
_symmetry_space_group_name_H-M 'R -3 m'
_symmetry_Int_Tables_number 166
_symmetry_space_group_name_Hall '-R 3 2"'
loop_
_atom_site_label
_atom_site_fract_x
_atom_site_fract_y
_atom_site_fract_z
Nd1 0.0000 0.0000 0.1130
Nd2 0.0000 0.0000 0.2966
Al1 0.0000 0.0000 0.0000
Al2 0.0000 0.0000 0.5000
Zn1 0.0000 0.0000 0.4304
Ga1 0.0440 0.5220 0.2913
Ga2 0.0735 0.5368 0.8726
```

DFT (PBE) results for Nd4AlZn2Ga after structural relaxation.

Geometry as CIF:
```
data_Nd4AlZn2Ga
_cell_length_a 5.2436
_cell_length_b 5.2436
_cell_length_c 25.6767
_cell_angle_alpha 90.00
_cell_angle_beta 90.00
_cell_angle_gamma 120.00
_symmetry_space_group_name_H-M 'R -3 m'
_symmetry_Int_Tables_number 166
_symmetry_space_group_name_Hall '-R 3 2"'
loop_
_atom_site_label
_atom_site_fract_x
_atom_site_fract_y
_atom_site_fract_z
Nd1 0.0000 0.0000 0.1237
Nd2 0.0000 0.0000 0.3738
Al1 0.0000 0.0000 0.5000
Zn1 0.0000 0.0000 0.2474
Ga1 0.0000 0.0000 0.0000
```

Number 1: total energy -26.6 eV for the cell shown, energy relative to the elements -593 meV/atom. Number 2: total energy -92.1 eV for the cell shown, energy relative to the elements -422 meV/atom. Number 3: total energy -57.3 eV for the cell shown, energy relative to the elements -278 meV/atom. Number 4: total energy -26.4 eV for the cell shown, energy relative to the elements -582 meV/atom. Number 5: total energy -36.2 eV for the cell shown, energy relative to the elements -486 meV/atom. Number 6: total energy -72.1 eV for the cell shown, energy relative to the elements -462 meV/atom. Number 7: total energy -81.2 eV for the cell shown, energy relative to the elements -334 meV/atom. Number 8: total energy -72.2 eV for the cell shown, energy relative to the elements -199 meV/atom. Number 9: total energy -35.9 eV for the cell shown, energy relative to the elements -481 meV/atom. Number 10: total energy -26.2 eV for the cell shown, energy relative to the elements -564 meV/atom. Number 11: total energy -89.8 eV for the cell shown, energy relative to the elements -382 meV/atom. Number 12: total energy -71.3 eV for the cell shown, energy relative to the elements -453 meV/atom. Number 13: total energy -40.1 eV for the cell shown, energy relative to the elements -509 meV/atom. Number 14: total energy -97.5 eV for the cell shown, energy relative to the elements -424 meV/atom. Number 15: total energy -81.0 eV for the cell shown, energy relative to the elements -241 meV/atom. Number 16: total energy -79.6 eV for the cell shown, energy relative to the elements -474 meV/atom. Number 17: total energy -35.6 eV for the cell shown, energy relative to the elements -421 meV/atom. Number 18: total energy -33.1 eV for the cell shown, energy relative to the elements -422 meV/atom. Number 19: total energy -211.0 eV for the cell shown, energy relative to the elements -245 meV/atom. Number 20: total energy -94.5 eV for the cell shown, energy relative to the elements -387 meV/atom.